Crystalline Mg2CoRe at its relaxed geometry, computed with PBE-GGA.

Results
energy relative to the lowest polymorph listed for this composition: 0.68 eV per formula unit

Cell: 3.2896 4.2179 8.7445 Å, 90.00 90.00 90.00°
Closest atoms and distances in Å follow each position.
Space group Cmmm (No. 65)
Asymmetric unit:
Mg1 0.0000 0.0000 0.2358 [4 per cell]  4 Co 2.64-2.95, 4 Mg 2.67, 2 Re 2.84
Co1 0.0000 0.5000 0.0000 [2 per cell]  8 Mg 2.64-2.95, 4 Co 2.67
Re1 0.0000 0.5000 0.5000 [2 per cell]  4 Re 2.67, 4 Mg 2.84



Crystalline HoUOsRu at its relaxed geometry, computed with PBE-GGA.

Results
energy relative to the lowest polymorph listed for this composition: 0.00 eV per formula unit

Cell: 4.4468 4.4468 14.7226 Å, 90.00 90.00 120.00°
Closest atoms and distances in Å follow each position.
Space group R3m (No. 160, hexagonal axes)
Asymmetric unit:
Ho1 0.0000 0.0000 0.0000 [3 per cell]  4 Ru 3.07-3.16, 4 Os 3.11-3.16
U1 0.0000 0.0000 0.4995 [3 per cell]  3 Ru 2.64, 3 Os 2.66
Os1 0.0000 0.0000 0.2146 [3 per cell]  3 U 2.66, 3 Ru 2.89
Ru1 0.0000 0.0000 0.7915 [3 per cell]  3 U 2.64, 3 Os 2.89



Crystalline Ti8Si2Tc at its relaxed geometry, computed with PBE-GGA.

Results
formation energy from raw total energies: -374 meV/atom

Cell: 14.7585 3.9398 6.6470 Å, 90.00 112.56 90.00°
Closest atoms and distances in Å follow each position.
Space group C2/m (No. 12)
Asymmetric unit:
Ti1 0.0312 0.0000 0.2983 [4 per cell]  2 Tc 2.52, 1 Si 2.76, 4 Ti 2.76
Ti2 0.0883 0.5000 0.9591 [4 per cell]  2 Si 2.56, 3 Ti 2.76-2.86, 1 Tc 2.82
Ti3 0.1729 0.5000 0.4286 [4 per cell]  3 Si 2.62-2.66, 6 Ti 2.76-2.93, 1 Tc 2.77
Ti4 0.1844 0.0000 0.7792 [4 per cell]  3 Si 2.61-2.64
Si1 0.1903 0.0000 0.1772 [4 per cell]  9 Ti 2.56-2.76
Tc1 0.0000 0.5000 0.5000 [2 per cell]  8 Ti 2.52-2.82



Crystalline La2NdDy8 at its relaxed geometry, computed with PBE-GGA.

Results
energy relative to the lowest polymorph listed for this composition: 0.00 eV per formula unit

Cell: 18.3047 5.0942 8.0392 Å, 90.00 105.32 90.00°
Closest atoms and distances in Å follow each position.
Space group C2/m (No. 12)
Asymmetric unit:
La1 0.2274 0.0000 0.1370 [4 per cell]  10 Dy 3.59-3.64, 2 La 3.60
Nd1 0.0000 0.5000 0.5000 [2 per cell]  12 Dy 3.57-3.59
Dy1 0.0437 0.0000 0.2265 [4 per cell]  9 Dy 3.56-3.60, 2 Nd 3.59, 1 La 3.62
Dy2 0.0892 0.5000 0.9548 [4 per cell]  8 Dy 3.53-3.63, 1 Nd 3.59, 3 La 3.62
Dy3 0.1352 0.0000 0.6768 [4 per cell]  7 Dy 3.56-3.63, 2 Nd 3.57, 3 La 3.61-3.64
Dy4 0.1810 0.5000 0.4065 [4 per cell]  8 Dy 3.58-3.62, 1 Nd 3.59, 3 La 3.59-3.61